{"formula": "Be2Fe2Re", "functional": "GGA-PBE", "state": "relaxed", "total_energy_ev_per_atom": -7.19, "relative_energy_ev_per_fu": 1.39, "delta_e_f_mev_per_atom": 173, "lattice_angstrom": [[-4.420, 4.518, -0.531], [-4.541, -4.427, 0.122], [-0.116, 0.190, 2.589]], "species": ["Be", "Be", "Be", "Be", "Re", "Re", "Fe", "Fe", "Fe", "Fe"], "fractional_positions": [[0.831, 0.331, 0.500], [0.669, 0.831, 0.500], [0.331, 0.169, 0.500], [0.169, 0.669, 0.500], [0.500, 0.500, 0.000], [0.000, 0.000, 0.000], [0.873, 0.627, 0.000], [0.627, 0.127, 0.000], [0.127, 0.373, 0.000], [0.373, 0.873, 0.000]]}